Below is a relaxed CrCo2PO crystal, with properties calculated at the PBE with a Hubbard U level.

Geometry as extended XYZ:
```
5
Lattice="-2.4722 1.7849 3.7822 -1.2857 -3.1906 0.6654 3.7832 -0.9184 2.9062" Properties=species:S:1:pos:R:3 pbc="T T T"
Cr 0.0000 0.0000 0.0000
Co 1.8916 -0.4592 1.4531
Co -1.2361 0.8924 1.8911
O -0.6428 -1.5953 0.3327
P 0.0127 -1.1621 3.6769
```

Computed properties:
* density: 4354 kg/m3
* volume: 16.539 A^3/atom
* electronic total energy: -24.45 eV per cell
* total magnetic moment: 0.7 Bohr magnetons per cell

Below is a relaxed CrCoP2O8 crystal, with properties calculated at the PBE with a Hubbard U level.

Geometry as extended XYZ:
```
24
Lattice="-3.3230 -4.6350 -0.9685 -0.5607 -0.5833 4.7154 -8.0104 5.7433 -0.0013" Properties=species:S:1:pos:R:3 pbc="T T T"
Cr -7.2880 3.0277 1.8784
Cr -4.6061 -2.5027 1.8673
Co -8.7596 0.1068 3.6299
Co -3.1345 0.4181 0.1157
P -9.9426 1.4841 1.0975
P -6.0790 1.7139 4.0178
P -5.8151 -1.1889 -0.2721
P -1.9515 -0.9591 2.6481
O -8.7600 3.8735 2.8811
O -9.9417 1.1669 2.6128
O -9.9919 0.1896 0.2099
O -8.5970 2.1353 0.6164
O -5.9211 3.1982 3.4558
O -7.2836 1.2978 3.0587
O -5.8650 2.2381 0.7746
O -7.0615 -0.3608 0.0416
O -4.8326 0.8858 3.7040
O -6.0291 -1.7131 2.9710
O -5.9730 -2.6732 0.2899
O -4.6105 -0.7728 0.6869
O -3.2971 -1.6103 3.1292
O -1.9022 0.3353 3.5358
O -1.9524 -0.6419 1.1329
O -3.1340 -3.3485 0.8646
```

Computed properties:
* density: 3664 kg/m3
* volume: 11.363 A^3/atom
* electronic total energy: -170.56 eV per cell
* total magnetic moment: 10.0 Bohr magnetons per cell

Below is a relaxed Cr3CoP6O24 crystal, with properties calculated at the PBE with a Hubbard U level.

Geometry as extended XYZ:
```
34
Lattice="8.7657 0.0222 0.0155 4.1869 7.4970 0.0000 4.1869 2.5794 7.0393" Properties=species:S:1:pos:R:3 pbc="T T T"
Cr 6.0342 6.4653 4.5166
Cr 10.9241 8.6520 6.0443
Cr 11.1104 3.6304 2.5362
Co 6.2365 1.4347 1.0023
P 5.4745 3.2672 3.7726
P 7.2723 7.8854 1.7698
P 8.4635 6.5078 6.7951
P 8.6841 3.6101 0.2547
P 9.8551 2.2026 5.2707
P 11.6676 6.8234 3.3020
O 2.4039 1.7332 2.0477
O 3.3030 4.1291 0.9228
O 3.9721 3.4851 3.5595
O 5.6400 2.4130 5.0425
O 6.2081 4.6009 4.0245
O 6.1469 2.6057 2.5643
O 6.5941 7.2732 0.5307
O 7.0650 6.8961 2.9353
O 7.7128 6.2888 5.4652
O 7.7604 4.8185 0.0666
O 7.8706 2.3114 0.4152
O 8.3417 2.0785 5.4787
O 8.7846 8.0274 1.5644
O 9.2776 7.8059 6.6466
O 9.3794 5.2957 6.9991
O 9.4360 3.8336 1.5806
O 10.0591 3.1869 4.1034
O 10.5341 2.8259 6.5055
O 10.9794 7.4844 4.5014
O 10.9365 5.4900 3.0558
O 11.4930 7.6714 2.0275
O 13.1724 6.6073 3.5040
O 13.8442 5.9772 6.1279
O 14.7331 8.3579 4.9984
```

Computed properties:
* density: 2823 kg/m3
* volume: 13.577 A^3/atom
* electronic total energy: -238.05 eV per cell
* total magnetic moment: 1.0 Bohr magnetons per cell

Below is a relaxed Ti3CrCo2P6O24 crystal, with properties calculated at the PBE with a Hubbard U level.

Geometry as extended XYZ:
```
36
Lattice="-7.4429 -1.3428 3.9730 -0.0416 -3.9531 7.5734 -1.8467 4.4738 7.0399" Properties=species:S:1:pos:R:3 pbc="T T T"
Ti -3.3355 -0.2939 6.6437
Ti -1.3290 -0.1171 2.6472
Ti -5.9939 -0.5281 11.9387
Cr -8.0191 -0.7066 15.9725
Co -0.0119 -0.0010 0.0237
Co -4.6489 -0.4096 9.2598
P -3.5340 -3.4038 7.8055
P -6.4417 0.8895 6.5355
P -1.7111 1.4846 8.9369
P -7.6053 -2.3196 9.6707
P -2.8965 -1.6862 12.0628
P -5.8226 2.5675 10.7819
O -6.0680 -2.1424 12.9336
O -7.8339 -0.1083 12.1369
O -5.4051 0.5496 13.3854
O -2.0990 -3.7304 8.3340
O -4.6366 -4.0050 8.6439
O -3.7128 -1.8556 7.8662
O -7.2871 -0.2528 5.8831
O -5.2022 0.2257 7.2105
O -0.3673 -0.6886 4.1956
O -2.8704 0.5915 8.3974
O -7.2425 -3.7923 9.9766
O -2.0760 1.4559 3.4326
O -7.1786 1.6422 7.6175
O -2.0875 2.9722 8.6363
O -6.4536 -1.3834 10.1364
O -1.5754 1.1830 10.4103
O -4.1199 -1.0747 11.3216
O -2.0629 -0.5605 12.7200
O -5.5660 1.0359 10.6890
O -2.8540 -1.2340 2.9230
O -7.2459 2.8945 10.2707
O -3.9109 -1.4035 5.1947
O -1.4729 -0.6879 6.4504
O -3.2882 1.3273 5.6281
```

Computed properties:
* density: 3274 kg/m3
* volume: 12.443 A^3/atom
* electronic total energy: -275.36 eV per cell
* total magnetic moment: 8.0 Bohr magnetons per cell

Below is a relaxed V3CrCo2P6O24 crystal, with properties calculated at the PBE with a Hubbard U level.

Geometry as extended XYZ:
```
36
Lattice="8.5113 0.0048 0.0034 4.1609 7.4249 0.0034 4.1609 2.4395 7.0127" Properties=species:S:1:pos:R:3 pbc="T T T"
V 6.0162 3.5273 2.5088
V 2.3856 1.3987 0.9948
V 10.8123 6.3392 4.5088
Cr 14.4694 8.4834 6.0338
Co 0.0000 0.0000 0.0000
Co 8.4040 4.9272 3.5045
P 7.2062 5.6747 0.2933
P 8.4712 1.4311 3.2260
P 5.3860 5.2437 5.2643
P 11.4498 4.6405 1.7596
P 8.3710 8.4361 3.8062
P 9.6413 4.1970 6.7201
O 11.5829 7.7507 3.4920
O 12.4204 5.3732 4.8265
O 10.7546 7.2546 6.1758
O 6.2650 6.9195 0.3969
O 8.6549 6.0291 0.0638
O 7.1509 4.9381 1.6736
O 9.0979 1.0599 1.8419
O 7.8015 2.8372 3.0673
O 10.8466 3.2982 1.3232
O 6.2858 4.6767 4.1155
O 11.4964 5.6964 0.6306
O 7.3323 8.3261 2.6814
O 9.4880 1.5723 4.3321
O 5.3681 4.1751 6.4062
O 10.5252 5.1555 2.9094
O 6.0058 6.5570 5.6743
O 9.0147 7.0162 3.9154
O 7.7654 8.8283 5.1741
O 9.6391 4.9358 5.3430
O 8.1753 3.8272 6.9853
O 10.5854 2.9746 6.6418
O 6.0502 2.6549 0.8183
O 4.3895 4.4766 2.2394
O 5.2715 2.0800 3.4940
```

Computed properties:
* density: 3346 kg/m3
* volume: 12.302 A^3/atom
* electronic total energy: -263.74 eV per cell
* total magnetic moment: 11.9 Bohr magnetons per cell

Below is a relaxed PaCrCo2O8 crystal, with properties calculated at the PBE with a Hubbard U level.

Geometry as extended XYZ:
```
12
Lattice="5.8169 0.2042 0.0000 -2.3969 5.3040 0.0000 -1.7100 -2.7541 4.8341" Properties=species:S:1:pos:R:3 pbc="T T T"
Pa 0.0000 0.0000 0.0000
Cr -1.1984 2.6520 2.4171
Co 2.9084 0.1021 2.4171
Co 1.7100 2.7541 0.0000
O 1.4977 -0.4324 1.5005
O 0.2610 2.2149 0.9466
O 0.1594 -1.5379 3.8875
O 3.0551 -1.3993 3.3336
O 3.1590 3.2934 0.9466
O 4.3192 0.6366 1.5005
O 2.7618 1.6035 3.3336
O -0.1594 1.5379 3.8875
```

Computed properties:
* density: 5797 kg/m3
* volume: 12.626 A^3/atom
* electronic total energy: -85.47 eV per cell
* total magnetic moment: 13.0 Bohr magnetons per cell

Below is a relaxed PaCrCo2O6 crystal, with properties calculated at the PBE with a Hubbard U level.

Geometry as extended XYZ:
```
10
Lattice="5.3226 0.0078 0.0074 2.6678 4.6203 -0.0113 2.6714 1.5270 4.8229" Properties=species:S:1:pos:R:3 pbc="T T T"
Pa 7.9945 4.6187 2.6719
Cr 2.6588 1.5402 0.1764
Co 5.3267 3.0713 2.0469
Co 2.6636 1.5486 4.5686
O 4.4328 1.4090 1.2100
O 4.3454 4.6967 1.2130
O 7.2056 3.1350 1.2197
O 6.0901 4.4463 3.6992
O 6.1498 1.7418 3.6884
O 3.7781 3.0246 3.6753
```

Computed properties:
* density: 6961 kg/m3
* volume: 11.854 A^3/atom
* electronic total energy: -78.03 eV per cell
* total magnetic moment: 8.9 Bohr magnetons per cell

Below is a relaxed CrCoPbO4 crystal, with properties calculated at the PBE with a Hubbard U level.

Geometry as extended XYZ:
```
14
Lattice="5.2212 0.0000 -1.2953 0.0000 5.2074 0.0000 -3.5233 0.0000 7.9910" Properties=species:S:1:pos:R:3 pbc="T T T"
Cr 2.5204 3.9055 2.6882
Cr -0.8224 1.3018 4.0074
Co -0.3351 3.9055 2.4408
Co 2.0330 1.3018 4.2549
Pb 0.1597 3.9055 6.0122
Pb 1.5383 1.3018 0.6834
O -1.7595 2.6244 5.1800
O 3.4575 0.0207 1.5157
O 3.4575 2.5829 1.5157
O -1.7595 5.1866 5.1800
O 1.2041 3.9055 1.2922
O 0.4939 1.3018 5.4035
O 1.0440 3.9055 3.9196
O 0.6540 1.3018 2.7761
```

Computed properties:
* density: 6558 kg/m3
* volume: 13.822 A^3/atom
* electronic total energy: -87.11 eV per cell
* total magnetic moment: 6.0 Bohr magnetons per cell

Below is a relaxed CrCoPd2O6 crystal, with properties calculated at the PBE with a Hubbard U level.

Geometry as extended XYZ:
```
20
Lattice="-4.0498 3.1209 -1.3061 -3.0343 -4.4411 -4.0318 -4.7011 -3.5721 3.2133" Properties=species:S:1:pos:R:3 pbc="T T T"
Cr -5.2292 -3.0445 0.7812
Cr -6.5561 -1.8479 -2.9057
Co -4.2143 -3.5736 -3.6303
Co -7.5710 -1.3188 1.5057
Pd -6.4835 -5.2974 -1.9614
Pd -2.8004 -1.4038 -1.5810
Pd -5.3018 0.4050 -0.1632
Pd -8.9848 -3.4885 -0.5435
O -4.3154 -2.6391 2.5158
O -6.8211 -3.0962 1.9942
O -7.4698 -2.2532 -4.6404
O -4.9642 -1.7962 -4.1187
O -5.7392 -3.5766 -2.5681
O -3.2983 -3.2531 -2.0454
O -6.0461 -1.3158 0.4436
O -8.4869 -1.6393 -0.0792
O -8.4446 -2.9218 -2.4269
O -5.0057 -0.5977 -1.9145
O -3.3406 -1.9706 0.3024
O -6.7795 -4.2947 -0.2100
```

Computed properties:
* density: 6371 kg/m3
* volume: 10.941 A^3/atom
* electronic total energy: -120.22 eV per cell
* total magnetic moment: 2.0 Bohr magnetons per cell

Below is a relaxed PmCrCo2O6 crystal, with properties calculated at the PBE with a Hubbard U level.

Geometry as extended XYZ:
```
10
Lattice="-4.5893 -0.6540 -2.4109 -0.1789 -2.2546 -4.7093 -2.0296 -4.9292 -0.4614" Properties=species:S:1:pos:R:3 pbc="T T T"
Pm -5.0593 -5.5246 -5.8568
Cr -1.6110 -1.1626 -2.2802
Co -3.3721 -3.6778 -3.9073
Co -2.0155 -4.8017 -0.5230
O -3.4123 -2.0820 -2.8351
O -1.7774 -3.2612 -4.8981
O -4.6383 -3.1053 -5.2366
O -3.1928 -5.5395 -4.5995
O -4.8986 -4.5698 -2.9846
O -2.4293 -4.5548 -2.3846
```

Computed properties:
* density: 6531 kg/m3
* volume: 10.447 A^3/atom
* electronic total energy: -69.36 eV per cell
* total magnetic moment: 3.0 Bohr magnetons per cell

Below is a relaxed Pm2CrCoO6 crystal, with properties calculated at the PBE with a Hubbard U level.

Geometry as extended XYZ:
```
10
Lattice="3.8842 0.0000 0.0000 0.0000 5.4017 0.0000 0.0000 0.0000 5.4017" Properties=species:S:1:pos:R:3 pbc="T T T"
Pm 0.3616 2.7009 0.0000
Pm 0.3616 0.0000 2.7009
Cr 2.4658 2.7009 2.7009
Co 2.5103 0.0000 0.0000
O 2.6050 1.3254 1.3254
O 2.6050 1.3254 4.0763
O 0.5529 2.7009 2.7009
O 0.5996 0.0000 0.0000
O 2.6050 4.0763 4.0763
O 2.6050 4.0763 1.3254
```

Computed properties:
* density: 7281 kg/m3
* volume: 11.333 A^3/atom
* electronic total energy: -75.22 eV per cell
* total magnetic moment: 3.0 Bohr magnetons per cell

Below is a relaxed CrCoPt2O6 crystal, with properties calculated at the PBE with a Hubbard U level.

Geometry as extended XYZ:
```
20
Lattice="-0.6261 -5.1070 -1.3238 5.9907 -2.8552 2.2488 0.1639 -3.1763 6.2435" Properties=species:S:1:pos:R:3 pbc="T T T"
Cr 1.8202 -4.3531 4.6698
Cr 3.7083 -6.7853 2.4988
Co 5.2138 -4.1661 2.3432
Co 0.3146 -6.9724 4.8254
Pt 5.4054 -5.8504 5.2779
Pt 2.4246 -2.6250 1.1893
Pt 0.1231 -5.2881 1.8907
Pt 3.1039 -8.5135 5.9792
O 0.1750 -3.3171 4.9446
O 1.0533 -5.5221 6.0485
O 5.3535 -7.8214 2.2239
O 4.4751 -5.6164 1.1200
O 4.4488 -5.3516 3.6094
O 3.6728 -3.1077 2.6579
O 1.0796 -5.7869 3.5592
O 1.8556 -8.0308 4.5107
O 4.2611 -8.9157 4.4195
O 1.9588 -4.7209 1.3985
O 1.2674 -2.2228 2.7491
O 3.5696 -6.4175 5.7700
```

Computed properties:
* density: 8998 kg/m3
* volume: 11.020 A^3/atom
* electronic total energy: -125.01 eV per cell
* total magnetic moment: 6.0 Bohr magnetons per cell

Question: What is the density in the twelfth record?
Answer: 8998 kg/m3

Question: Which value of density does entry 9 give?
Answer: 6371 kg/m3